NdDyEr2As4 (PBE, relaxed); raw total energy = -49.20 eV per cell
1.0
7.1685 0.0000 0.0000
0.0000 4.1430 0.0000
-2.3909 0.0000 6.7606
Nd Dy Er As
1 1 2 4
direct
0.0000 0.0000 0.0000 Nd
0.0000 0.5000 0.5000 Dy
0.5000 0.0000 0.5000 Er
0.5000 0.5000 0.0000 Er
0.2555 0.0000 0.7477 As
0.2586 0.5000 0.2571 As
0.7414 0.5000 0.7429 As
0.7445 0.0000 0.2523 As



AlRuRh2 (PBE, relaxed); raw total energy = -28.88 eV per cell
1.0
1.3868 0.8007 8.4309
-1.3868 0.8007 8.4309
0.0000 -1.6013 8.4309
Al Ru Rh
1 1 2
direct
0.0000 0.0000 0.0000 Al
0.5000 0.5000 0.5000 Ru
0.2532 0.2532 0.2532 Rh
0.7468 0.7468 0.7468 Rh



Mg2ZrMn (PBE, relaxed); raw total energy = -19.93 eV per cell
1.0
2.8795 -5.2098 0.0000
2.8795 5.2098 0.0000
-1.1528 0.0000 2.6780
Mg Zr Mn
2 1 1
direct
0.0000 0.5000 0.0000 Mg
0.5000 0.0000 0.0000 Mg
0.0000 0.0000 0.5000 Zr
0.5000 0.5000 0.5000 Mn



NpS2Br2F2 (PBE, relaxed); formation energy (no corrections) = -1.42 eV per atom; raw total energy = -38.21 eV per cell
1.0
5.9353 -2.4865 0.0000
5.9353 2.4865 0.0000
-2.9688 0.0000 6.2944
Np S Br F
1 2 2 2
direct
0.0000 0.0000 0.0000 Np
0.0671 0.0671 0.6406 S
0.9329 0.9329 0.3594 S
0.4234 0.4234 0.7384 Br
0.5766 0.5766 0.2616 Br
0.1875 0.1875 0.1028 F
0.8125 0.8125 0.8972 F



Short version: spin magnetization = 0.00; 0.00; 2.97; 3.02 μB/f.u., in the order given.